Y3HfAg, optimized geometry, DFT GGA-PBE; energy of formation from the pure elements = 3.69 eV/f.u.; excess energy over the best structure of this formula in the dataset = 134 meV/atom; symmetry = Pm-3m (221)
1.0
5.550 0.000 0.000
0.000 5.550 0.000
0.000 0.000 5.550
Y Hf Ag
3 1 1
Direct
0.000 0.000 0.500
0.000 0.500 0.000
0.500 0.000 0.000
0.000 0.000 0.000
0.500 0.500 0.500